1.
The following is a DFT calculation (PBE) of an optimized crystal structure of Hf6C3N2O.

Calculated values
Energy: -10.624 eV/atom
E_form (uncorrected): -1540 meV per atom
SG: C2/m, No. 12

Cell lengths 3.248, 6.510, 7.293 Å; angles 103.03, 102.87, 90.00 degrees
Sites, in units of the cell vectors:
C1 0.834 0.166 0.669
C2 0.166 0.834 0.331
C3 0.500 0.500 0.000
N1 0.836 0.671 0.671
N2 0.164 0.329 0.329
Hf1 0.998 0.263 0.997
Hf2 0.328 0.916 0.656
Hf3 0.002 0.737 0.003
Hf4 0.672 0.084 0.344
Hf5 0.667 0.585 0.334
Hf6 0.333 0.415 0.666
O1 0.500 0.000 0.000

=====

2.
The following is a DFT calculation (PBE) of an optimized crystal structure of Hf6C3NO2.

Calculated values
Energy: -10.458 eV/atom
E_form (uncorrected): -1655 meV per atom
SG: C2/m, No. 12

Cell lengths 5.642, 5.642, 5.659 Å; angles 99.56, 99.56, 120.05 degrees
Sites, in units of the cell vectors:
C1 0.500 0.500 0.500
C2 0.832 0.168 0.500
C3 0.168 0.832 0.500
Hf1 0.412 0.089 0.267
Hf2 0.588 0.911 0.733
Hf3 0.765 0.765 0.262
Hf4 0.089 0.412 0.267
Hf5 0.235 0.235 0.738
Hf6 0.911 0.588 0.733
O1 0.667 0.333 0.000
O2 0.333 0.667 0.000
N1 0.000 0.000 0.000

=====

3.
The following is a DFT calculation (PBE) of an optimized crystal structure of Hf6PC2N3.

Calculated values
Energy: -10.366 eV/atom
E_form (uncorrected): -1320 meV per atom
SG: C2/m, No. 12

Cell lengths 3.312, 6.706, 7.426 Å; angles 102.56, 102.88, 90.00 degrees
Sites, in units of the cell vectors:
Hf1 0.670 0.580 0.340
Hf2 0.998 0.720 0.996
Hf3 0.323 0.900 0.646
Hf4 0.330 0.420 0.660
Hf5 0.002 0.280 0.004
Hf6 0.677 0.100 0.354
C1 0.832 0.665 0.665
C2 0.168 0.335 0.335
N1 0.500 0.500 0.000
N2 0.833 0.167 0.666
N3 0.167 0.833 0.334
P1 0.500 0.000 0.000

=====

4.
The following is a DFT calculation (PBE) of an optimized crystal structure of Hf6PC3N2.

Calculated values
Energy: -10.326 eV/atom
E_form (uncorrected): -1205 meV per atom
SG: C2/m, No. 12

Cell lengths 3.321, 6.725, 7.485 Å; angles 103.32, 102.82, 90.00 degrees
Sites, in units of the cell vectors:
Hf1 0.332 0.414 0.664
Hf2 0.999 0.274 0.997
Hf3 0.324 0.914 0.648
Hf4 0.001 0.726 0.003
Hf5 0.668 0.586 0.336
Hf6 0.676 0.086 0.352
N1 0.171 0.339 0.342
N2 0.829 0.661 0.658
C1 0.833 0.171 0.666
C2 0.167 0.829 0.334
C3 0.500 0.500 0.000
P1 0.500 0.000 0.000